#a
First-principles (PBE-GGA) data for a geometry-optimized LiGa2Rh2 structure, as listed in Alexandria via LeMat-Bulk.

Computed properties:
The magnetic moment comes out at 0.00 μB per cell. The mass density comes out at 8.1 g/cm3. Its crystal system is monoclinic.

The structure in CIF format:
```
data_LiGa2Rh2
_chemical_formula_sum 'Li2 Ga4 Rh4'
_space_group_name_H-M_alt 'P 1'
_space_group_IT_number 1
_cell_length_a 4.365
_cell_length_b 4.416
_cell_length_c 7.712
_cell_angle_alpha 90.00
_cell_angle_beta 105.11
_cell_angle_gamma 90.00
loop_
_space_group_symop_operation_xyz
'x,y,z'
loop_
_atom_site_label
_atom_site_fract_x
_atom_site_fract_y
_atom_site_fract_z
Li1 0.203 0.250 0.289
Li2 0.797 0.750 0.711
Ga1 0.360 0.750 0.904
Ga2 0.364 0.250 0.663
Ga3 0.636 0.750 0.337
Ga4 0.640 0.250 0.096
Rh1 0.068 0.250 0.902
Rh2 0.229 0.750 0.506
Rh3 0.771 0.250 0.494
Rh4 0.932 0.750 0.098
```

#b
First-principles (PBE-GGA) data for a geometry-optimized LiGa2Rh2 structure, as listed in Alexandria via LeMat-Bulk.

Computed properties:
The magnetic moment comes out at 0.00 μB per cell. The mass density comes out at 6.7 g/cm3. Its crystal system is tetragonal.

The structure in CIF format:
```
data_LiGa2Rh2
_chemical_formula_sum 'Li1 Ga2 Rh2'
_space_group_name_H-M_alt 'P 1'
_space_group_IT_number 1
_cell_length_a 5.967
_cell_length_b 5.967
_cell_length_c 5.967
_cell_angle_alpha 139.99
_cell_angle_beta 139.99
_cell_angle_gamma 57.87
loop_
_space_group_symop_operation_xyz
'x,y,z'
loop_
_atom_site_label
_atom_site_fract_x
_atom_site_fract_y
_atom_site_fract_z
Li1 0.000 0.000 0.000
Ga1 0.381 0.381 0.000
Ga2 0.619 0.619 0.000
Rh1 0.250 0.750 0.500
Rh2 0.750 0.250 0.500
```

From most stable to least stable, the computed energies give #a, #b.